Entry 1:
A relaxed structure of Pr2CBr. Source: Alexandria via LeMat-Bulk, functional PBE.

Results
**E**: -5.981 eV/atom
**Spin magnetization**: 0.00 μB/f.u.
**Energy relative to the elements, uncorrected**: -0.867 eV per atom
**Mass density**: 6.42 g cm⁻³

The structure in POSCAR format:
```
Pr2CBr
1.0
3.850 0.000 0.000
-1.925 3.334 0.000
0.000 0.000 15.066
Pr C Br
4 2 2
Direct
0.333 0.667 0.092 Pr
0.333 0.667 0.408 Pr
0.667 0.333 0.592 Pr
0.667 0.333 0.908 Pr
0.000 0.000 0.000 C
0.000 0.000 0.500 C
0.333 0.667 0.750 Br
0.667 0.333 0.250 Br
```



Entry 2:
A relaxed structure of Pr9C2Br14. Source: Alexandria via LeMat-Bulk, functional PBE.

Results
**E**: -4.788 eV/atom
**Spin magnetization**: 0.69 μB/f.u.
**Energy relative to the elements, uncorrected**: -1.393 eV per atom
**Mass density**: 5.14 g cm⁻³

The structure in POSCAR format:
```
Pr9C2Br14
1.0
8.746 0.000 0.000
-4.373 7.575 0.000
0.000 0.000 11.749
Pr C Br
9 2 14
Direct
0.000 0.000 0.000 Pr
0.104 0.388 0.331 Pr
0.284 0.896 0.331 Pr
0.333 0.667 0.068 Pr
0.388 0.284 0.669 Pr
0.612 0.716 0.331 Pr
0.667 0.333 0.932 Pr
0.716 0.104 0.669 Pr
0.896 0.612 0.669 Pr
0.333 0.667 0.281 C
0.667 0.333 0.719 C
0.000 0.000 0.266 Br
0.000 0.000 0.734 Br
0.049 0.678 0.907 Br
0.087 0.403 0.599 Br
0.316 0.913 0.599 Br
0.322 0.371 0.907 Br
0.371 0.049 0.093 Br
0.403 0.316 0.401 Br
0.597 0.684 0.599 Br
0.629 0.951 0.907 Br
0.678 0.629 0.093 Br
0.684 0.087 0.401 Br
0.913 0.597 0.401 Br
0.951 0.322 0.093 Br
```



Entry 3:
A relaxed structure of Pr4C2Br5. Source: Alexandria via LeMat-Bulk, functional PBE.

Results
**E**: -4.945 eV/atom
**Spin magnetization**: 0.89 μB/f.u.
**Energy relative to the elements, uncorrected**: -0.769 eV per atom
**Mass density**: 4.50 g cm⁻³

The structure in POSCAR format:
```
Pr4C2Br5
1.0
13.035 -1.772 0.000
13.035 1.772 0.000
-0.733 0.000 7.888
Pr C Br
4 2 5
Direct
0.033 0.033 0.207 Pr
0.325 0.325 0.926 Pr
0.675 0.675 0.074 Pr
0.967 0.967 0.793 Pr
0.241 0.241 0.009 C
0.759 0.759 0.991 C
0.089 0.089 0.888 Br
0.143 0.143 0.365 Br
0.500 0.500 0.500 Br
0.857 0.857 0.635 Br
0.911 0.911 0.112 Br
```



Entry 4:
A relaxed structure of Pr10C4Br15. Source: Alexandria via LeMat-Bulk, functional PBE.

Results
**E**: -5.284 eV/atom
**Spin magnetization**: 0.00 μB/f.u.
**Energy relative to the elements, uncorrected**: -1.498 eV per atom
**Mass density**: 4.87 g cm⁻³

The structure in POSCAR format:
```
Pr10C4Br15
1.0
9.301 0.000 0.000
3.385 9.707 0.000
4.541 2.430 10.022
Pr C Br
10 4 15
Direct
0.029 0.105 0.263 Pr
0.078 0.180 0.889 Pr
0.170 0.430 0.045 Pr
0.246 0.541 0.645 Pr
0.333 0.750 0.832 Pr
0.667 0.250 0.168 Pr
0.754 0.459 0.355 Pr
0.830 0.570 0.955 Pr
0.922 0.820 0.111 Pr
0.971 0.895 0.737 Pr
0.044 0.704 0.938 C
0.120 0.640 0.829 C
0.880 0.360 0.171 C
0.956 0.296 0.062 C
0.051 0.558 0.295 Br
0.128 0.814 0.471 Br
0.232 0.908 0.061 Br
0.255 0.024 0.648 Br
0.335 0.169 0.218 Br
0.384 0.272 0.817 Br
0.454 0.369 0.412 Br
0.500 0.500 0.000 Br
0.546 0.631 0.588 Br
0.616 0.728 0.183 Br
0.665 0.831 0.782 Br
0.745 0.976 0.352 Br
0.768 0.092 0.939 Br
0.872 0.186 0.529 Br
0.949 0.442 0.705 Br
```



Entry 5:
A relaxed structure of Pr6CBr12. Source: Alexandria via LeMat-Bulk, functional PBE.

Results
**E**: -4.483 eV/atom
**Spin magnetization**: 0.80 μB/f.u.
**Energy relative to the elements, uncorrected**: -1.431 eV per atom
**Mass density**: 5.21 g cm⁻³

The structure in POSCAR format:
```
Pr6CBr12
1.0
5.214 3.010 6.146
-5.214 3.010 6.146
0.000 -6.021 6.146
Pr C Br
6 1 12
Direct
0.284 0.284 0.688 Pr
0.284 0.688 0.284 Pr
0.312 0.716 0.716 Pr
0.688 0.284 0.284 Pr
0.716 0.312 0.716 Pr
0.716 0.716 0.312 Pr
0.500 0.500 0.500 C
0.053 0.053 0.676 Br
0.053 0.676 0.053 Br
0.060 0.612 0.612 Br
0.324 0.947 0.947 Br
0.388 0.388 0.940 Br
0.388 0.940 0.388 Br
0.612 0.060 0.612 Br
0.612 0.612 0.060 Br
0.676 0.053 0.053 Br
0.940 0.388 0.388 Br
0.947 0.324 0.947 Br
0.947 0.947 0.324 Br
```



Entry 6:
A relaxed structure of PrCBr. Source: Alexandria via LeMat-Bulk, functional PBE.

Results
**E**: -5.763 eV/atom
**Spin magnetization**: 0.00 μB/f.u.
**Energy relative to the elements, uncorrected**: -0.537 eV per atom
**Mass density**: 4.05 g cm⁻³

The structure in POSCAR format:
```
PrCBr
1.0
3.775 -6.917 0.000
3.775 6.917 0.000
0.000 0.000 7.303
Pr C Br
4 4 4
Direct
0.241 0.259 0.250 Pr
0.259 0.241 0.750 Pr
0.741 0.759 0.250 Pr
0.759 0.741 0.750 Pr
0.043 0.957 0.460 C
0.457 0.543 0.960 C
0.543 0.457 0.040 C
0.957 0.043 0.540 C
0.129 0.871 0.989 Br
0.371 0.629 0.489 Br
0.629 0.371 0.511 Br
0.871 0.129 0.011 Br
```



Entry 7:
A relaxed structure of Pr2CBr. Source: Alexandria via LeMat-Bulk, functional PBE.

Results
**E**: -5.967 eV/atom
**Spin magnetization**: 0.00 μB/f.u.
**Energy relative to the elements, uncorrected**: -0.853 eV per atom
**Mass density**: 6.43 g cm⁻³

The structure in POSCAR format:
```
Pr2CBr
1.0
3.830 0.000 0.000
-1.915 3.316 0.000
0.000 0.000 22.789
Pr C Br
6 3 3
Direct
0.000 0.000 0.000 Pr
0.000 0.000 0.211 Pr
0.333 0.667 0.667 Pr
0.333 0.667 0.878 Pr
0.667 0.333 0.333 Pr
0.667 0.333 0.544 Pr
0.000 0.000 0.605 C
0.333 0.667 0.272 C
0.667 0.333 0.938 C
0.000 0.000 0.773 Br
0.333 0.667 0.440 Br
0.667 0.333 0.107 Br
```



Entry 8:
A relaxed structure of Pr8Rh3CBr3. Source: Alexandria via LeMat-Bulk, functional PBE.

Results
**E**: -5.761 eV/atom
**Spin magnetization**: 0.00 μB/f.u.
**Energy relative to the elements, uncorrected**: -0.792 eV per atom
**Mass density**: 6.15 g cm⁻³

The structure in POSCAR format:
```
Pr8Rh3CBr3
1.0
7.145 -4.129 0.000
7.145 4.129 0.000
-4.768 0.000 7.722
Pr Rh C Br
8 3 1 3
Direct
0.218 0.218 0.686 Pr
0.218 0.749 0.686 Pr
0.251 0.782 0.314 Pr
0.266 0.266 0.298 Pr
0.734 0.734 0.702 Pr
0.749 0.218 0.686 Pr
0.782 0.251 0.314 Pr
0.782 0.782 0.314 Pr
0.000 0.500 0.500 Rh
0.500 0.000 0.500 Rh
0.500 0.500 0.500 Rh
0.000 0.000 0.500 C
0.000 0.000 0.000 Br
0.000 0.500 0.000 Br
0.500 0.000 0.000 Br
```



Entry 9:
A relaxed structure of Pr6Rh2CBr3. Source: Alexandria via LeMat-Bulk, functional PBE.

Results
**E**: -5.735 eV/atom
**Spin magnetization**: 0.00 μB/f.u.
**Energy relative to the elements, uncorrected**: -0.933 eV per atom
**Mass density**: 6.41 g cm⁻³

The structure in POSCAR format:
```
Pr6Rh2CBr3
1.0
3.554 -6.147 0.000
3.554 6.147 0.000
-2.347 0.000 7.720
Pr Rh C Br
6 2 1 3
Direct
0.062 0.373 0.189 Pr
0.251 0.251 0.811 Pr
0.373 0.062 0.189 Pr
0.627 0.938 0.811 Pr
0.749 0.749 0.189 Pr
0.938 0.627 0.811 Pr
0.333 0.667 0.000 Rh
0.667 0.333 0.000 Rh
0.000 0.000 0.000 C
0.164 0.836 0.500 Br
0.500 0.500 0.500 Br
0.836 0.164 0.500 Br
```



Entry 10:
A relaxed structure of Pr4RuCBr2. Source: Alexandria via LeMat-Bulk, functional PBE.

Results
**E**: -5.896 eV/atom
**Spin magnetization**: 0.00 μB/f.u.
**Energy relative to the elements, uncorrected**: -0.776 eV per atom
**Mass density**: 6.43 g cm⁻³

The structure in POSCAR format:
```
Pr4RuCBr2
1.0
7.053 0.000 0.000
0.000 3.985 0.000
-2.135 0.000 7.687
Pr Ru C Br
4 1 1 2
Direct
0.223 0.000 0.180 Pr
0.241 0.500 0.808 Pr
0.759 0.500 0.192 Pr
0.777 0.000 0.820 Pr
0.500 0.000 0.000 Ru
0.000 0.500 0.000 C
0.000 0.000 0.500 Br
0.500 0.500 0.500 Br
```



Entry 11:
A relaxed structure of Pr6Ru2CBr3. Source: Alexandria via LeMat-Bulk, functional PBE.

Results
**E**: -5.887 eV/atom
**Spin magnetization**: 0.00 μB/f.u.
**Energy relative to the elements, uncorrected**: -0.764 eV per atom
**Mass density**: 6.45 g cm⁻³

The structure in POSCAR format:
```
Pr6Ru2CBr3
1.0
3.533 -6.109 0.000
3.533 6.109 0.000
-2.358 0.000 7.744
Pr Ru C Br
6 2 1 3
Direct
0.062 0.375 0.188 Pr
0.252 0.252 0.812 Pr
0.375 0.062 0.188 Pr
0.625 0.938 0.812 Pr
0.748 0.748 0.188 Pr
0.938 0.625 0.812 Pr
0.333 0.667 0.000 Ru
0.667 0.333 0.000 Ru
0.000 0.000 0.000 C
0.166 0.834 0.500 Br
0.500 0.500 0.500 Br
0.834 0.166 0.500 Br
```



Entry 12:
A relaxed structure of Pr6C2SBr3. Source: Alexandria via LeMat-Bulk, functional PBE.

Results
**E**: -5.831 eV/atom
**Spin magnetization**: 0.00 μB/f.u.
**Energy relative to the elements, uncorrected**: -1.141 eV per atom
**Mass density**: 6.25 g cm⁻³

The structure in POSCAR format:
```
Pr6C2SBr3
1.0
3.425 -5.933 0.000
3.425 5.933 0.000
-2.285 0.000 7.463
Pr C S Br
6 2 1 3
Direct
0.084 0.438 0.813 Pr
0.208 0.208 0.187 Pr
0.438 0.084 0.813 Pr
0.562 0.916 0.187 Pr
0.792 0.792 0.813 Pr
0.916 0.562 0.187 Pr
0.167 0.833 0.000 C
0.833 0.167 0.000 C
0.500 0.500 0.000 S
0.000 0.000 0.500 Br
0.335 0.665 0.500 Br
0.665 0.335 0.500 Br
```